CeSc2In2 after structural relaxation. Source: Alexandria via LeMat-Bulk, functional PBE.

Cell and atoms, written as extended XYZ:
```
5
Lattice="5.139 0.000 0.000 -2.570 4.451 0.000 0.000 0.000 6.166" Properties=species:S:1:pos:R:3 pbc="T T T"
In 0.000 2.967 1.179
Sc 0.000 2.967 4.064
Sc 2.570 1.484 2.102
Ce 0.000 0.000 0.000
In 2.570 1.484 4.988
```

Results
Symmetry   P-3m1
E   -4.92 eV/atom